## Cs2PBr5Cl (GGA-PBE)

Data for an optimized crystal structure of Cs2PBr5Cl.

Calculated density (g/cm³): 3.8
SG: I4mm, No. 107
Total DFT energy (no corrections) (eV/cell): -26.3
Raw formation energy (eV/atom): -0.995

abc: 7.7304 7.7304 7.7304
angles: 120.53 120.53 89.08
Positions (direct):
Cs1 0.0000 0.5000 0.5000
Cs2 0.5000 0.0000 0.5000
P1 0.2515 0.2515 0.0000
Br1 0.0204 0.0204 0.0000
Br2 0.0209 0.0209 0.5400
Br3 0.0209 0.4810 0.0000
Br4 0.4810 0.0209 0.0000
Br5 0.4810 0.4810 0.4600
Cl1 0.4572 0.4572 0.0000